[1]
VASP calculation (PBE) on a relaxed structure of Te2PtBr.

```
Te2PtBr
1.0
-4.093 13.015 -10.464
-6.197 -2.479 -4.346
-5.800 -0.412 5.443
Br Te Pt
8 16 8
Direct
0.628 0.967 0.169 Br
0.128 0.331 0.533 Br
0.881 0.815 0.905 Br
0.872 0.669 0.467 Br
0.119 0.185 0.095 Br
0.372 0.033 0.831 Br
0.381 0.595 0.685 Br
0.619 0.405 0.315 Br
0.548 0.703 0.680 Te
0.255 0.394 0.440 Te
0.447 0.839 0.289 Te
0.245 0.940 0.894 Te
0.947 0.211 0.661 Te
0.250 0.495 0.995 Te
0.755 0.060 0.106 Te
0.452 0.297 0.320 Te
0.750 0.106 0.606 Te
0.952 0.180 0.203 Te
0.053 0.789 0.339 Te
0.553 0.161 0.711 Te
0.250 0.894 0.394 Te
0.750 0.505 0.005 Te
0.745 0.606 0.560 Te
0.048 0.820 0.797 Te
0.648 0.355 0.833 Pt
0.839 0.152 0.377 Pt
0.852 0.333 0.855 Pt
0.161 0.848 0.623 Pt
0.661 0.877 0.652 Pt
0.148 0.667 0.145 Pt
0.352 0.645 0.167 Pt
0.339 0.123 0.348 Pt
```

Calculated values
**Fermi-level density of states**: 8.0 states/eV/cell
**SG**: No. 15
**Energy relative to the elements, uncorrected**: -0.185 eV per atom
**Uncorrected energy**: -117.896 eV/cell

[2]
VASP calculation (PBE) on a relaxed structure of Te2PtBr.

```
Te2PtBr
1.0
6.767 0.000 0.000
0.000 5.549 0.000
0.000 0.000 11.408
Te Pt Br
8 4 4
Direct
0.848 0.250 0.468 Te
0.539 0.250 0.674 Te
0.652 0.750 0.968 Te
0.039 0.250 0.826 Te
0.461 0.750 0.326 Te
0.961 0.750 0.174 Te
0.152 0.750 0.532 Te
0.348 0.250 0.032 Te
0.834 0.750 0.401 Pt
0.666 0.250 0.901 Pt
0.166 0.250 0.599 Pt
0.334 0.750 0.099 Pt
0.896 0.250 0.168 Br
0.604 0.750 0.668 Br
0.104 0.750 0.832 Br
0.396 0.250 0.332 Br
```

Calculated values
**Fermi-level density of states**: 8.7 states/eV/cell
**SG**: No. 62
**Energy relative to the elements, uncorrected**: -0.140 eV per atom
**Uncorrected energy**: -58.236 eV/cell

[3]
VASP calculation (PBE) on a relaxed structure of Te3Pt2Br.

```
Te3Pt2Br
1.0
8.162 0.000 0.000
-4.081 7.069 0.000
0.000 0.000 5.523
Te Br Pt
6 2 4
Direct
0.828 0.172 0.229 Te
0.657 0.828 0.771 Te
0.172 0.343 0.771 Te
0.828 0.657 0.229 Te
0.343 0.172 0.229 Te
0.172 0.828 0.771 Te
0.333 0.667 0.358 Br
0.667 0.333 0.642 Br
0.500 0.000 0.000 Pt
0.000 0.000 0.000 Pt
0.000 0.500 0.000 Pt
0.500 0.500 0.000 Pt
```

Calculated values
**Fermi-level density of states**: 10.1 states/eV/cell
**SG**: No. 164
**Energy relative to the elements, uncorrected**: -0.258 eV per atom
**Uncorrected energy**: -49.458 eV/cell

[4]
VASP calculation (PBE) on a relaxed structure of TePtBr2.

```
TePtBr2
1.0
4.814 0.018 -0.034
3.495 3.310 -0.034
1.430 0.573 7.908
Br Pt Te
2 1 1
Direct
0.872 0.872 0.050 Br
0.628 0.628 0.450 Br
0.250 0.250 0.250 Pt
0.750 0.750 0.750 Te
```

Calculated values
**Fermi-level density of states**: 1.9 states/eV/cell
**SG**: No. 12
**Energy relative to the elements, uncorrected**: 0.214 eV per atom
**Uncorrected energy**: -11.672 eV/cell

[5]
VASP calculation (PBE) on a relaxed structure of Te2PtBr.

```
Te2PtBr
1.0
5.791 0.001 0.018
0.896 5.721 -0.018
-2.419 -3.941 3.486
Te Br Pt
2 1 1
Direct
0.426 0.426 0.000 Te
0.074 0.074 0.000 Te
0.750 0.250 0.500 Br
0.250 0.750 0.500 Pt
```

Calculated values
**Fermi-level density of states**: 2.9 states/eV/cell
**SG**: No. 71
**Energy relative to the elements, uncorrected**: 0.036 eV per atom
**Uncorrected energy**: -13.853 eV/cell

[6]
VASP calculation (PBE) on a relaxed structure of Te2PtBr.

```
Te2PtBr
1.0
7.440 0.000 0.000
0.000 7.440 0.000
3.720 3.720 4.563
Te Pt Br
4 2 2
Direct
0.375 0.309 0.750 Te
0.691 0.125 0.250 Te
0.875 0.941 0.750 Te
0.059 0.625 0.250 Te
0.000 0.000 0.000 Pt
0.750 0.250 0.500 Pt
0.500 0.500 0.000 Br
0.250 0.750 0.500 Br
```

Calculated values
**Fermi-level density of states**: 8.4 states/eV/cell
**SG**: No. 122
**Energy relative to the elements, uncorrected**: 0.010 eV per atom
**Uncorrected energy**: -27.914 eV/cell

[7]
VASP calculation (PBE) on a relaxed structure of Te3PtBr.

```
Te3PtBr
1.0
-1.172 -4.176 3.125
-2.520 -2.351 -4.087
4.567 -2.369 -1.453
Te Br Pt
3 1 1
Direct
0.500 0.000 0.000 Te
0.000 0.500 0.000 Te
0.000 0.000 0.500 Te
0.500 0.500 0.500 Br
0.000 0.000 0.000 Pt
```

Calculated values
**Fermi-level density of states**: 8.4 states/eV/cell
**SG**: No. 221
**Offset from the most stable computed form**: 0.00 eV/f.u.
**Energy relative to the elements, uncorrected**: 0.357 eV per atom
**Uncorrected energy**: -15.355 eV/cell

[8]
VASP calculation (PBE) on a relaxed structure of Te2PtBr.

```
Te2PtBr
1.0
7.194 -0.312 0.511
4.355 5.735 -0.511
-5.370 -3.573 3.242
Br Pt Te
1 1 2
Direct
0.408 0.408 0.000 Br
0.265 0.765 0.500 Pt
0.705 0.205 0.500 Te
0.122 0.122 0.000 Te
```

Calculated values
**Fermi-level density of states**: 2.0 states/eV/cell
**SG**: No. 44
**Energy relative to the elements, uncorrected**: -0.073 eV per atom
**Uncorrected energy**: -14.288 eV/cell